Below is CaAc2Te4 after structural relaxation, with properties calculated at the PBE level.

Geometry as POSCAR:
```
CaAc2Te4
1.0
4.610 0.000 0.000
-2.305 7.728 0.000
0.000 0.000 15.832
Te Ca Ac
8 2 4
direct
0.779 0.559 0.377
0.500 0.000 0.500
0.978 0.956 0.750
0.221 0.441 0.877
0.500 0.000 0.000
0.221 0.441 0.623
0.779 0.559 0.123
0.022 0.044 0.250
0.382 0.764 0.250
0.618 0.236 0.750
0.866 0.732 0.575
0.134 0.268 0.425
0.866 0.732 0.925
0.134 0.268 0.075
```

## Properties
relative energy among the computed polymorphs: 0.668 eV/f.u.
formation energy from raw total energies: -1514 meV/atom
space group: Cmcm



Below is Ca3Ac2ThTe6 after structural relaxation, with properties calculated at the PBE level.

Geometry as POSCAR:
```
Ca3Ac2ThTe6
1.0
4.482 0.000 0.000
0.000 9.328 0.059
-2.241 -2.974 9.692
Te Ac Ca Th
6 2 3 1
direct
0.010 0.751 0.019
0.990 0.249 0.981
0.333 0.940 0.666
0.666 0.586 0.332
0.667 0.060 0.334
0.334 0.414 0.668
0.158 0.314 0.316
0.842 0.686 0.684
0.170 0.828 0.340
0.830 0.172 0.660
0.500 0.500 0.000
0.500 0.000 0.000
```

## Properties
formation energy from raw total energies: -1441 meV/atom
space group: C2/m



| no. | E_tot (eV per atom) |
| --- | --- |
| 1 | -4.769 |
| 2 | -4.815 |